# 1
LuRePb2 | PBE | optimized geometry

Cell lengths 5.089, 5.089, 5.089 Å; angles 60.00, 60.00, 60.00 degrees
Element x y z (fractional)
Lu 0.500 0.500 0.500
Pb 0.000 0.000 0.000
Pb 0.250 0.250 0.250
Re 0.750 0.750 0.750

Calculated values
Magnetic moment ... 0.165 μB/atom
Space group ... No. 216
Energy ... -21.94 eV per formula unit

***

# 2
Lu2PbS3 | PBE | optimized geometry

Cell lengths 3.774, 3.774, 11.699 Å; angles 90.00, 90.00, 120.00 degrees
Element x y z (fractional)
Lu 0.333 0.667 0.143
Lu 0.667 0.333 0.857
Pb 0.000 0.000 0.500
S 0.000 0.000 0.000
S 0.667 0.333 0.266
S 0.333 0.667 0.734

Calculated values
Magnetic moment ... 0.001 μB/atom
Space group ... No. 164
Energy ... -34.33 eV per formula unit

***

# 3
LuSnPbS3 | PBE | optimized geometry

Cell lengths 7.726, 7.726, 11.101 Å; angles 90.00, 90.00, 151.53 degrees
Element x y z (fractional)
Lu 0.000 0.000 0.000
Lu 0.000 0.000 0.500
Pb 0.663 0.337 0.250
Pb 0.337 0.663 0.750
S 0.377 0.623 0.003
S 0.992 0.008 0.250
S 0.377 0.623 0.497
S 0.623 0.377 0.503
S 0.008 0.992 0.750
S 0.623 0.377 0.997
Sn 0.356 0.644 0.250
Sn 0.644 0.356 0.750

Calculated values
Magnetic moment ... 0.002 μB/atom
Space group ... No. 63
Energy ... -30.55 eV per formula unit

***

# 4
LuSbPb2 | PBE | optimized geometry

Cell lengths 5.459, 5.459, 5.459 Å; angles 60.00, 60.00, 60.00 degrees
Element x y z (fractional)
Lu 0.250 0.250 0.250
Pb 0.000 0.000 0.000
Pb 0.750 0.750 0.750
Sb 0.500 0.500 0.500

Calculated values
Magnetic moment ... 0.000 μB/atom
Space group ... No. 216
Energy ... -16.61 eV per formula unit

***

# 5
LuSbTe3Pb | PBE | optimized geometry

Cell lengths 7.996, 7.996, 11.224 Å; angles 90.00, 90.00, 149.20 degrees
Element x y z (fractional)
Lu 0.000 0.000 0.000
Lu 0.000 0.000 0.500
Pb 0.769 0.231 0.250
Pb 0.231 0.769 0.750
Sb 0.456 0.544 0.250
Sb 0.544 0.456 0.750
Te 0.356 0.644 0.017
Te 0.106 0.894 0.250
Te 0.356 0.644 0.483
Te 0.644 0.356 0.517
Te 0.894 0.106 0.750
Te 0.644 0.356 0.983

Calculated values
Magnetic moment ... 0.002 μB/atom
Space group ... No. 63
Energy ... -24.30 eV per formula unit

***

# 6
LuScPb | PBE | optimized geometry

Cell lengths 5.044, 5.044, 5.044 Å; angles 60.00, 60.00, 60.00 degrees
Element x y z (fractional)
Lu 0.250 0.250 0.250
Pb 0.750 0.750 0.750
Sc 0.000 0.000 0.000

Calculated values
Magnetic moment ... 0.002 μB/atom
Space group ... No. 216
E above lowest polymorph ... 0.0000 eV per atom
Energy ... -13.86 eV per formula unit

***

# 7
LuScTe3Pb | PBE | optimized geometry

Cell lengths 7.876, 7.876, 11.560 Å; angles 90.00, 90.00, 148.86 degrees
Element x y z (fractional)
Lu 0.000 0.000 0.000
Lu 0.000 0.000 0.500
Pb 0.785 0.215 0.250
Pb 0.215 0.785 0.750
Sc 0.451 0.549 0.250
Sc 0.549 0.451 0.750
Te 0.358 0.642 0.035
Te 0.078 0.922 0.250
Te 0.358 0.642 0.465
Te 0.642 0.358 0.535
Te 0.922 0.078 0.750
Te 0.642 0.358 0.965

Calculated values
Magnetic moment ... 0.009 μB/atom
Space group ... No. 63
Energy ... -29.06 eV per formula unit

***

# 8
LuSiPb2 | PBE | optimized geometry

Cell lengths 5.280, 5.280, 5.280 Å; angles 60.00, 60.00, 60.00 degrees
Element x y z (fractional)
Lu 0.250 0.250 0.250
Pb 0.000 0.000 0.000
Pb 0.750 0.750 0.750
Si 0.500 0.500 0.500

Calculated values
Magnetic moment ... 0.000 μB/atom
Space group ... No. 216
Energy ... -16.87 eV per formula unit

***

# 9
LuSiTe3Pb | PBE | optimized geometry

Cell lengths 7.814, 7.814, 10.979 Å; angles 90.00, 90.00, 147.92 degrees
Element x y z (fractional)
Lu 0.000 0.000 0.000
Lu 0.000 0.000 0.500
Pb 0.760 0.240 0.250
Pb 0.240 0.760 0.750
Si 0.462 0.538 0.250
Si 0.538 0.462 0.750
Te 0.358 0.642 0.039
Te 0.094 0.906 0.250
Te 0.358 0.642 0.461
Te 0.642 0.358 0.539
Te 0.906 0.094 0.750
Te 0.642 0.358 0.961

Calculated values
Magnetic moment ... 0.002 μB/atom
Space group ... No. 63
Energy ... -25.28 eV per formula unit

***

# 10
SmLuPb4 | PBE | optimized geometry

Cell lengths 3.311, 10.153, 10.153 Å; angles 36.29, 90.00, 90.00 degrees
Element x y z (fractional)
Lu 0.000 0.591 0.591
Pb 0.000 0.084 0.084
Pb 0.000 0.243 0.243
Pb 0.000 0.756 0.756
Pb 0.000 0.919 0.919
Sm 0.000 0.408 0.408

Calculated values
Magnetic moment ... 0.001 μB/atom
Space group ... No. 38
Energy ... -22.72 eV per formula unit

***

# 11
Sm2LuPb7 | PBE | optimized geometry

Cell lengths 13.217, 13.217, 4.719 Å; angles 90.00, 90.00, 159.60 degrees
Element x y z (fractional)
Lu 0.000 0.000 0.000
Pb 0.595 0.405 0.000
Pb 0.405 0.595 0.000
Pb 0.904 0.096 0.500
Pb 0.707 0.293 0.500
Pb 0.500 0.500 0.500
Pb 0.293 0.707 0.500
Pb 0.096 0.904 0.500
Sm 0.812 0.188 0.000
Sm 0.188 0.812 0.000

Calculated values
Magnetic moment ... 0.001 μB/atom
Space group ... No. 65
Energy ... -43.33 eV per formula unit

***

# 12
SmLu2Pb7 | PBE | optimized geometry

Cell lengths 13.003, 13.003, 4.668 Å; angles 90.00, 90.00, 159.04 degrees
Element x y z (fractional)
Lu 0.809 0.191 0.000
Lu 0.191 0.809 0.000
Pb 0.600 0.400 0.000
Pb 0.400 0.600 0.000
Pb 0.900 0.100 0.500
Pb 0.706 0.294 0.500
Pb 0.500 0.500 0.500
Pb 0.294 0.706 0.500
Pb 0.100 0.900 0.500
Sm 0.000 0.000 0.000

Calculated values
Magnetic moment ... 0.001 μB/atom
Space group ... No. 65
Energy ... -42.65 eV per formula unit